PBE K2YInF, optimized geometry; formation energy (no corrections) = -0.14 eV/atom
1.0
6.649 0.000 0.000
0.000 6.649 0.000
0.000 0.000 5.865
K Y In F
2 1 1 1
Cartesian
0.000 3.324 0.000
3.324 0.000 0.000
0.000 0.000 2.932
0.000 0.000 0.000
3.324 3.324 2.932

PBE KYIn2F, optimized geometry; formation energy (no corrections) = -0.88 eV/atom
1.0
6.359 0.000 0.000
0.000 6.359 0.000
0.000 0.000 4.310
K Y In F
1 1 2 1
Cartesian
0.000 0.000 0.000
3.179 3.179 2.155
0.000 3.179 2.155
3.179 0.000 2.155
3.179 3.179 0.000